Record 1
Compound: Ac6Rh3Au2
Source: Alexandria via LeMat-Bulk
Functional: PBE-GGA
Structure: optimized geometry

Calculated values
The calculation puts the energy of formation from the pure elements at -0.722 eV/atom. The density of states at the Fermi level is 11.1 states/eV per cell. The calculation puts the energy at -122.41 eV per cell. The total magnetic moment comes out at 0.00 μB per formula unit.

Cell: 7.5446 13.0318 7.9003 Å, 90.00 108.50 90.00°
Space group C2/m (No. 12)
Symmetry-distinct sites (fractional):
Ac 0.2359 0.1706 0.2201 x8
Ac 0.2475 0.5000 0.2187 x4
Rh 0.0000 0.0000 0.0000 x2
Rh 0.0000 0.3347 0.0000 x4
Au 0.0000 0.1665 0.5000 x4

Record 2
Compound: Ac3RhAu2
Source: Alexandria via LeMat-Bulk
Functional: PBE-GGA
Structure: optimized geometry

Calculated values
The calculation puts the energy of formation from the pure elements at -0.789 eV/atom. The density of states at the Fermi level is 11.6 states/eV per cell. The calculation puts the energy at -123.85 eV per cell. The total magnetic moment comes out at 0.00 μB per formula unit. The value obtained for the excess energy over the best structure of this formula in the dataset is 0 meV/atom.

Cell: 7.7238 13.2945 7.8248 Å, 90.00 108.90 90.00°
Space group C2/m (No. 12)
Symmetry-distinct sites (fractional):
Ac 0.2237 0.0000 0.2251 x4
Ac 0.2462 0.1755 0.7656 x8
Rh 0.0000 0.1683 0.0000 x4
Au 0.0000 0.0000 0.5000 x2
Au 0.0000 0.3424 0.5000 x4
Au 0.0000 0.5000 0.0000 x2

Record 3
Compound: Ac4RhAu2
Source: Alexandria via LeMat-Bulk
Functional: PBE-GGA
Structure: optimized geometry

Calculated values
The calculation puts the energy of formation from the pure elements at -0.650 eV/atom. The density of states at the Fermi level is 9.3 states/eV per cell. The calculation puts the energy at -69.78 eV per cell. The total magnetic moment comes out at 0.00 μB per formula unit. The value obtained for the excess energy over the best structure of this formula in the dataset is 0 meV/atom.

Cell: 15.7519 4.5966 6.6857 Å, 90.00 102.35 90.00°
Space group C2/m (No. 12)
Symmetry-distinct sites (fractional):
Ac 0.0817 0.0000 0.2724 x4
Ac 0.1548 0.5000 0.8175 x4
Rh 0.0000 0.5000 0.0000 x2
Au 0.2334 0.5000 0.3391 x4

Record 4
Compound: AcRhAu
Source: Alexandria via LeMat-Bulk
Functional: PBE-GGA
Structure: optimized geometry

Calculated values
The calculation puts the energy of formation from the pure elements at -0.675 eV/atom. The density of states at the Fermi level is 3.6 states/eV per cell. The calculation puts the energy at -33.52 eV per cell. The total magnetic moment comes out at 0.00 μB per formula unit. The value obtained for the excess energy over the best structure of this formula in the dataset is 0 meV/atom.

Cell: 4.4904 4.1379 8.2391 Å, 90.00 90.00 90.00°
Space group Pmma (No. 51)
Symmetry-distinct sites (fractional):
Ac 0.2500 0.0000 0.2219 x2
Rh 0.2500 0.5000 0.9287 x2
Au 0.2500 0.5000 0.6014 x2

Record 5
Compound: Ac2RhAu2
Source: Alexandria via LeMat-Bulk
Functional: PBE-GGA
Structure: optimized geometry

Calculated values
The calculation puts the energy of formation from the pure elements at -0.767 eV/atom. The density of states at the Fermi level is 14.4 states/eV per cell. The calculation puts the energy at -103.82 eV per cell. The total magnetic moment comes out at 0.00 μB per formula unit.

Cell: 11.7553 4.2056 12.3599 Å, 90.00 116.06 90.00°
Space group C2/m (No. 12)
Symmetry-distinct sites (fractional):
Ac 0.0593 0.0000 0.3602 x4
Ac 0.1934 0.0000 0.1163 x4
Rh 0.2076 0.5000 0.2972 x4
Au 0.0363 0.5000 0.8897 x4
Au 0.1297 0.5000 0.5855 x4

Record 6
Compound: Ac8Rh3Au2
Source: Alexandria via LeMat-Bulk
Functional: PBE-GGA
Structure: optimized geometry

Calculated values
The calculation puts the energy of formation from the pure elements at -0.598 eV/atom. The density of states at the Fermi level is 20.8 states/eV per cell. The calculation puts the energy at -138.51 eV per cell. The total magnetic moment comes out at 0.00 μB per formula unit.

Cell: 16.0312 8.5453 7.4089 Å, 90.00 107.79 90.00°
Space group C2/m (No. 12)
Symmetry-distinct sites (fractional):
Ac 0.1093 0.0000 0.4122 x4
Ac 0.1099 0.5000 0.4098 x4
Ac 0.1118 0.2572 0.9033 x8
Rh 0.0000 0.2461 0.5000 x4
Rh 0.0000 0.5000 0.0000 x2
Au 0.2456 0.0000 0.1680 x4

Record 7
Compound: Ac4Rh3Au
Source: Alexandria via LeMat-Bulk
Functional: PBE-GGA
Structure: optimized geometry

Calculated values
The calculation puts the energy of formation from the pure elements at -0.709 eV/atom. The density of states at the Fermi level is 4.4 states/eV per cell. The calculation puts the energy at -47.44 eV per cell. The total magnetic moment comes out at 0.00 μB per formula unit.

Cell: 4.1580 4.5675 11.5048 Å, 90.00 90.00 90.00°
Space group Pmm2 (No. 25)
Symmetry-distinct sites (fractional):
Ac 0.0000 0.0000 0.0000 x1
Ac 0.0000 0.5000 0.2624 x1
Ac 0.5000 0.0000 0.4804 x1
Ac 0.5000 0.5000 0.7665 x1
Rh 0.0000 0.5000 0.5371 x1
Rh 0.5000 0.0000 0.2148 x1
Rh 0.5000 0.5000 0.0313 x1
Au 0.0000 0.0000 0.7053 x1

Record 8
Compound: Ac6RhAu3
Source: Alexandria via LeMat-Bulk
Functional: PBE-GGA
Structure: optimized geometry

Calculated values
The calculation puts the energy of formation from the pure elements at -0.624 eV/atom. The density of states at the Fermi level is 20.1 states/eV per cell. The calculation puts the energy at -96.16 eV per cell. The total magnetic moment comes out at 0.00 μB per formula unit. The value obtained for the excess energy over the best structure of this formula in the dataset is 0 meV/atom.

Cell: 7.6646 8.1829 13.1763 Å, 90.00 121.06 90.00°
Space group P2_1/c (No. 14)
Symmetry-distinct sites (fractional):
Ac 0.0827 0.0520 0.2456 x4
Ac 0.2335 0.6846 0.0818 x4
Ac 0.3767 0.1753 0.0682 x4
Rh 0.0000 0.0000 0.0000 x2
Au 0.3246 0.1139 0.7719 x4
Au 0.5000 0.0000 0.5000 x2

Record 9
Compound: Ac4RhAu2
Source: Alexandria via LeMat-Bulk
Functional: PBE-GGA
Structure: optimized geometry

Calculated values
The calculation puts the energy of formation from the pure elements at -0.512 eV/atom. The density of states at the Fermi level is 17.2 states/eV per cell. The calculation puts the energy at -67.84 eV per cell. The total magnetic moment comes out at 0.00 μB per formula unit. The value obtained for the excess energy over the best structure of this formula in the dataset is 139 meV/atom.

Cell: 5.7208 5.7208 15.4460 Å, 90.00 90.00 90.00°
Space group I4/mmm (No. 139)
Symmetry-distinct sites (fractional):
Ac 0.0000 0.0000 0.1942 x4
Ac 0.0000 0.5000 0.0000 x4
Rh 0.0000 0.0000 0.0000 x2
Au 0.0000 0.0000 0.3922 x4

Record 10
Compound: Ac5RhAu4
Source: Alexandria via LeMat-Bulk
Functional: PBE-GGA
Structure: optimized geometry

Calculated values
The calculation puts the energy of formation from the pure elements at -0.781 eV/atom. The density of states at the Fermi level is 6.9 states/eV per cell. The calculation puts the energy at -97.63 eV per cell. The total magnetic moment comes out at 0.00 μB per formula unit. The value obtained for the excess energy over the best structure of this formula in the dataset is 0 meV/atom.

Cell: 10.0832 10.0832 6.3722 Å, 90.00 90.00 90.00°
Space group I4/m (No. 87)
Symmetry-distinct sites (fractional):
Ac 0.0000 0.0000 0.0000 x2
Ac 0.0991 0.7202 0.5000 x8
Rh 0.0000 0.0000 0.5000 x2
Au 0.0915 0.6938 0.0000 x8

Record 11
Compound: Ac12Rh3Au5
Source: Alexandria via LeMat-Bulk
Functional: PBE-GGA
Structure: optimized geometry

Calculated values
The calculation puts the energy of formation from the pure elements at -0.284 eV/atom. The density of states at the Fermi level is 133.1 states/eV per cell. The calculation puts the energy at -747.37 eV per cell. The total magnetic moment comes out at 0.00 μB per formula unit.

Cell: 18.2384 18.2384 18.2384 Å, 90.00 90.00 90.00°
Space group Ia-3d (No. 230)
Symmetry-distinct sites (fractional):
Ac 0.0207 0.0766 0.6512 x96
Rh 0.0000 0.2500 0.1250 x24
Au 0.0000 0.0000 0.0000 x16
Au 0.0000 0.2500 0.3750 x24

Record 12
Compound: Ac6Rh2Au
Source: Alexandria via LeMat-Bulk
Functional: PBE-GGA
Structure: optimized geometry

Calculated values
The calculation puts the energy of formation from the pure elements at -0.514 eV/atom. The density of states at the Fermi level is 8.5 states/eV per cell. The calculation puts the energy at -47.25 eV per cell. The total magnetic moment comes out at 0.00 μB per formula unit. The value obtained for the excess energy over the best structure of this formula in the dataset is 0 meV/atom.

Cell: 7.6367 7.6367 6.9954 Å, 90.00 90.00 120.00°
Space group P-31m (No. 162)
Symmetry-distinct sites (fractional):
Ac 0.0000 0.3489 0.2349 x6
Rh 0.3333 0.6667 0.0000 x2
Au 0.0000 0.0000 0.0000 x1